The following is a PBE-GGA calculation of SrTb5 after structural relaxation, from Alexandria via LeMat-Bulk.

Unit cell a=5.9879 b=18.4760 c=3.7769 alpha=90.00 beta=90.00 gamma=90.00
Space group Cmmm (No. 65)
Asymmetric unit:
Sr (0.0000, 0.0000, 0.0000) x2
Tb (0.0000, 0.1876, 0.5000) x4
Tb (0.0000, 0.3476, 0.0000) x4
Tb (0.0000, 0.5000, 0.5000) x2

Summary:
DOS(E_F) = 11.4 states/eV/f.u.
E_form = 0.187 eV/atom
mass density = 7.0 g/cm3

The following is a PBE-GGA calculation of Sr3Tb after structural relaxation, from Alexandria via LeMat-Bulk.

Unit cell a=8.9959 b=8.9959 c=8.9959 alpha=90.00 beta=90.00 gamma=90.00
Space group Fm-3m (No. 225)
Asymmetric unit:
Sr (0.0000, 0.0000, 0.0000) x4
Sr (0.2500, 0.2500, 0.2500) x8
Tb (0.0000, 0.0000, 0.5000) x4

Summary:
DOS(E_F) = 4.1 states/eV/f.u.
E_form = 0.187 eV/atom
E above lowest polymorph = 13 meV per atom
mass density = 3.8 g/cm3

The following is a PBE-GGA calculation of Sr3Tb after structural relaxation, from Alexandria via LeMat-Bulk.

Unit cell a=4.3576 b=12.9432 c=6.4584 alpha=90.00 beta=90.00 gamma=90.00
Space group Imm2 (No. 44)
Asymmetric unit:
Sr (0.0000, 0.0000, 0.0000) x2
Sr (0.0000, 0.2375, 0.5024) x4
Tb (0.0000, 0.5000, 0.9999) x2

Summary:
DOS(E_F) = 4.2 states/eV/f.u.
E_form = 0.174 eV/atom
E above lowest polymorph = 0 meV per atom
mass density = 3.8 g/cm3

The following is a PBE-GGA calculation of SrTb after structural relaxation, from Alexandria via LeMat-Bulk.

Unit cell a=3.8641 b=3.8641 c=11.0142 alpha=90.00 beta=90.04 gamma=90.00
Space group P2_1/m (No. 11)
Asymmetric unit:
Sr (0.2491, 0.2500, 0.1506) x2
Tb (0.2503, 0.2500, 0.5970) x2

Summary:
DOS(E_F) = 2.6 states/eV/f.u.
E_form = 0.109 eV/atom
E above lowest polymorph = 0 meV per atom
mass density = 5.0 g/cm3